# SiTcPb2

An optimized crystal structure of SiTcPb2 (PBE-GGA, Alexandria via LeMat-Bulk).

Unit cell a=3.593 b=3.428 c=7.328 alpha=71.41 beta=90.00 gamma=90.00
Fractional positions:
Pb (0.000, 0.064, 0.980)
Pb (0.000, 0.436, 0.520)
Si (0.500, 0.250, 0.250)
Tc (0.500, 0.750, 0.750)

For the spin magnetization, the calculation gives 0.000 μB per atom. As for the symmetry: P2/m. The calculation puts the raw total energy at -5.05 eV/atom. The density of states at the Fermi level comes out at 0.850 states/eV per atom. The value obtained for the formation energy from raw total energies is 0.750 eV per atom.